# ZrCoIr, optimized geometry, DFT PBE
data_ZrCoIr
_space_group_name_H-M_alt 'P 1'
_space_group_IT_number 1
_space_group_name_Hall 'P 1'
_cell_length_a 5.861
_cell_length_b 5.861
_cell_length_c 5.861
_cell_angle_alpha 150.95
_cell_angle_beta 150.95
_cell_angle_gamma 41.54
loop_
_atom_site_label
_atom_site_type_symbol
_atom_site_fract_x
_atom_site_fract_y
_atom_site_fract_z
_atom_site_occupancy
Co1 Co 0.014 0.014 0.000 1
Ir1 Ir 0.650 0.650 0.000 1
Zr1 Zr 0.336 0.336 0.000 1
# ΔE_f: -0.5 eV/f.u.
# Fermi-level density of states: 3.043 states/eV/cell